(1)
PBE PaAlAg, relaxed; distance to the lowest polymorph of the same formula = 31 meV/atom; formation enthalpy at 0 K = -0.149 eV per formula unit; magnetization = 0.1028 μB per atom; E_tot = -5.41 eV per atom
1.0
3.049 0.000 0.000
0.000 3.049 0.000
0.000 0.000 12.849
Pa Al Ag
2 2 2
Direct
0.000 0.000 0.000
0.500 0.500 0.500
0.000 0.000 0.326
0.500 0.500 0.826
0.000 0.000 0.692
0.500 0.500 0.192

(2)
PBE PaAlAg2, relaxed; distance to the lowest polymorph of the same formula = 19 meV/atom; formation enthalpy at 0 K = 0.227 eV per formula unit; magnetization = 0.0001 μB per atom; E_tot = -4.68 eV per atom
1.0
6.913 0.000 0.000
0.000 6.913 0.000
0.000 0.000 6.913
Pa Al Ag
4 4 8
Direct
0.000 0.000 0.000
0.000 0.500 0.500
0.500 0.000 0.500
0.500 0.500 0.000
0.000 0.000 0.500
0.000 0.500 0.000
0.500 0.000 0.000
0.500 0.500 0.500
0.250 0.250 0.250
0.250 0.250 0.750
0.250 0.750 0.250
0.250 0.750 0.750
0.750 0.250 0.250
0.750 0.250 0.750
0.750 0.750 0.250
0.750 0.750 0.750

(3)
PBE PaAl7Ag5, relaxed; formation enthalpy at 0 K = -1.038 eV per formula unit; magnetization = 0.0897 μB per atom; E_tot = -3.92 eV per atom
1.0
-2.771 4.662 4.525
2.771 -4.662 4.525
2.771 4.662 -4.525
Pa Al Ag
1 7 5
Direct
0.000 0.000 0.000
0.211 0.509 0.702
0.351 0.001 0.350
0.352 0.352 0.000
0.647 0.647 0.000
0.651 0.001 0.650
0.785 0.285 0.500
0.806 0.509 0.298
0.227 0.727 0.500
0.514 0.007 0.010
0.514 0.504 0.507
0.997 0.007 0.493
0.997 0.504 0.990

(4)
PBE PaAl4Ag8, relaxed; formation enthalpy at 0 K = -0.942 eV per formula unit; magnetization = 0.0797 μB per atom; E_tot = -3.71 eV per atom
1.0
-4.669 4.669 2.690
4.669 -4.669 2.690
4.669 4.669 -2.690
Pa Al Ag
1 4 8
Direct
0.000 0.000 0.000
0.000 0.000 0.500
0.000 0.500 0.000
0.500 0.000 0.000
0.500 0.500 0.500
0.000 0.343 0.343
0.000 0.657 0.657
0.284 0.500 0.784
0.343 0.000 0.343
0.500 0.284 0.784
0.500 0.716 0.216
0.657 0.000 0.657
0.716 0.500 0.216

(5)
PBE PaAlAg2, relaxed; distance to the lowest polymorph of the same formula = 0 meV/atom; formation enthalpy at 0 K = 0.151 eV per formula unit; magnetization = 0.1090 μB per atom; E_tot = -4.70 eV per atom
1.0
3.065 0.000 0.000
0.000 3.065 0.000
0.000 0.000 8.186
Pa Al Ag
1 1 2
Direct
0.000 0.000 0.000
0.000 0.000 0.500
0.500 0.500 0.294
0.500 0.500 0.706

(6)
PBE PaAl3Ag, relaxed; formation enthalpy at 0 K = -0.428 eV per formula unit; magnetization = 0.0004 μB per atom; E_tot = -4.80 eV per atom
1.0
6.723 -2.289 0.000
6.723 2.289 0.000
-1.687 0.000 6.345
Pa Al Ag
2 6 2
Direct
0.134 0.134 0.472
0.866 0.866 0.528
0.087 0.087 0.928
0.277 0.277 0.190
0.337 0.337 0.819
0.663 0.663 0.181
0.723 0.723 0.810
0.913 0.913 0.072
0.476 0.476 0.273
0.524 0.524 0.727